ScAl11Rh, relaxed, DFT PBE; total magnetization = 0.0 μB per cell; space group = C2/m, No. 12; crystal system = monoclinic; density = 3.39 Mg/m³; E_form = -230 meV/atom; D(E_F) = 5.09 states/eV/cell
1.0
4.7327 -0.1037 1.9717
2.2016 6.6905 0.9172
-0.0587 -0.0519 6.8068
Al Rh Sc
11 1 1
Direct
0.0000 0.5000 0.0000
0.7147 0.7800 0.7865
0.0049 0.6436 0.3499
0.2853 0.2200 0.2135
0.4988 0.2200 0.7865
0.9951 0.3564 0.6501
0.0000 0.0000 0.5000
0.5012 0.7800 0.2135
0.3548 0.6436 0.6501
0.6452 0.3564 0.3499
0.5000 0.0000 0.5000
0.5000 0.5000 0.0000
0.0000 0.0000 0.0000

Sc2Al2Rh, relaxed, DFT PBE; total magnetization = 0.0 μB per cell; space group = P4/mbm, No. 127; crystal system = tetragonal; density = 4.43 Mg/m³; E_form = -581 meV/atom; D(E_F) = 9.46 states/eV/cell
1.0
-5.4417 2.9758 -2.4454
-0.4069 -4.6532 -4.7570
-2.3912 -2.3309 2.4846
Rh Al Sc
2 4 4
Direct
0.0000 0.0000 0.0000
0.5000 0.5000 0.0000
0.8620 0.6380 0.0000
0.6380 0.1380 0.0000
0.1380 0.3620 0.0000
0.3620 0.8620 0.0000
0.1688 0.6688 0.5000
0.6688 0.8312 0.5000
0.3312 0.1688 0.5000
0.8312 0.3312 0.5000

Sc4Al3Rh, relaxed, DFT PBE; total magnetization = 0.0 μB per cell; space group = P4/mmm, No. 123; crystal system = tetragonal; density = 4.04 Mg/m³; E_form = -599 meV/atom; D(E_F) = 3.37 states/eV/cell
1.0
-0.2754 -3.3014 -0.3858
1.7722 -0.4733 2.7855
-11.3428 0.1009 7.2338
Sc Al Rh
4 3 1
Direct
0.0000 0.0000 0.6295
0.0000 0.0000 0.8869
0.0000 0.0000 0.3705
0.0000 0.0000 0.1131
0.5000 0.5000 0.7583
0.5000 0.5000 0.5000
0.5000 0.5000 0.2417
0.5000 0.5000 0.0000

ScAl2Rh2, relaxed, DFT PBE; total magnetization = 0.0 μB per cell; space group = I4/mmm, No. 139; polymorph energy (0 for the lowest one) = 122.6 meV/atom; crystal system = tetragonal; density = 6.02 Mg/m³; E_form = -776 meV/atom; D(E_F) = 2.39 states/eV/cell
1.0
-2.4095 -2.6618 -1.1115
1.1538 -2.2167 2.8074
-4.8164 -0.1284 4.3939
Rh Al Sc
2 2 1
Direct
0.3891 0.3891 0.2218
0.6109 0.6109 0.7782
0.2500 0.7500 0.5000
0.7500 0.2500 0.5000
0.0000 0.0000 0.0000

Sc4Al12Rh, relaxed, DFT PBE; total magnetization = 0.0 μB per cell; space group = Im-3m, No. 229; crystal system = cubic; density = 3.40 Mg/m³; E_form = -519 meV/atom; D(E_F) = 8.49 states/eV/cell
1.0
6.8572 0.0000 -2.4244
-3.4286 5.9385 -2.4244
0.0000 0.0000 7.2731
Al Sc Rh
12 4 1
Direct
0.7131 0.0000 0.7131
0.2500 0.7500 0.5000
0.2500 0.5000 0.7500
0.5000 0.2500 0.7500
0.7500 0.5000 0.2500
0.0000 0.2869 0.2869
0.7131 0.7131 0.0000
0.5000 0.7500 0.2500
0.2869 0.0000 0.2869
0.2869 0.2869 0.0000
0.7500 0.2500 0.5000
0.0000 0.7131 0.7131
0.0000 0.0000 0.5000
0.5000 0.5000 0.5000
0.5000 0.0000 0.0000
0.0000 0.5000 0.0000
0.0000 0.0000 0.0000

ScAl4Rh, relaxed, DFT PBE; total magnetization = 0.0 μB per cell; space group = F-43m, No. 216; crystal system = cubic; density = 4.29 Mg/m³; E_form = -268 meV/atom; D(E_F) = 3.38 states/eV/cell
1.0
0.0000 3.6718 3.6718
3.6718 0.0000 3.6718
3.6718 3.6718 0.0000
Sc Al Rh
1 4 1
Direct
0.0000 0.0000 0.0000
0.3741 0.3741 0.3741
0.3741 0.8776 0.3741
0.8776 0.3741 0.3741
0.3741 0.3741 0.8776
0.7500 0.7500 0.7500

What did the second record say?
Sc2Al2Rh, relaxed, DFT PBE; total magnetization = 0.0 μB per cell; space group = P4/mbm, No. 127; crystal system = tetragonal; density = 4.43 Mg/m³; E_form = -581 meV/atom; D(E_F) = 9.46 states/eV/cell
1.0
-5.4417 2.9758 -2.4454
-0.4069 -4.6532 -4.7570
-2.3912 -2.3309 2.4846
Rh Al Sc
2 4 4
Direct
0.0000 0.0000 0.0000
0.5000 0.5000 0.0000
0.8620 0.6380 0.0000
0.6380 0.1380 0.0000
0.1380 0.3620 0.0000
0.3620 0.8620 0.0000
0.1688 0.6688 0.5000
0.6688 0.8312 0.5000
0.3312 0.1688 0.5000
0.8312 0.3312 0.5000

Question: Which value of total magnetization does entry 4 give?
Answer: 0.0 μB per cell

Question: total magnetization of number 2 (Sc2Al2Rh)?
Answer: 0.0 μB per cell

Question: Which formula does entry 1 have?
Answer: ScAl11Rh